ReSiMo2 | PBE | relaxed

Computed properties:
Total magnetization ... 0.0 Bohr magnetons per cell
Formation energy (no corrections) ... -0.128 eV/atom

a = 3.1246 Å, b = 4.2332 Å, c = 8.8821 Å
α = 90.00°, β = 90.00°, γ = 90.00°
Positions (direct):
Re  0.0000  0.0000  0.0000
Re  0.5000  0.5000  0.5000
Si  0.0000  0.5000  0.2599
Si  0.5000  0.0000  0.7599
Mo  0.0000  0.0000  0.5091
Mo  0.0000  0.5000  0.7534
Mo  0.5000  0.0000  0.2534
Mo  0.5000  0.5000  0.0091